This record from Alexandria via LeMat-Bulk describes crystalline Ce7HgOs2 at its relaxed geometry. The functional is PBE.

Cell: 5.2498 7.9705 7.9705 Å, 113.35 90.00 90.00°
Last column: nearest neighbours and their distance in Å.
Atoms (fractional coordinates):
Os (0.5000, 0.3078, 0.6922)  3 Ce 2.56-2.64
Ce (0.5000, 0.9448, 0.7167)  3 Ce 2.96-3.27, 2 Os 2.98-3.08
Ce (0.5000, 0.0552, 0.2833)  3 Ce 2.96-3.27, 2 Os 2.98-3.08
Ce (0.0000, 0.7146, 0.2854)  2 Os 2.64
Ce (0.5000, 0.2833, 0.0552)  3 Ce 2.96-3.27, 2 Os 2.98-3.08
Os (0.5000, 0.6922, 0.3078)  3 Ce 2.56-2.64
Ce (0.5000, 0.7167, 0.9448)  3 Ce 2.96-3.27, 2 Os 2.98-3.08
Hg (0.0000, 0.0000, 0.0000)  8 Ce 3.38
Ce (0.5000, 0.5000, 0.5000)  2 Os 2.56
Ce (0.0000, 0.2854, 0.7146)  2 Os 2.64

The value obtained for the density of states at the Fermi level is 30.156 states/eV/f.u. The calculated density comes out at 8.47 g/cm³. The formation energy is 0.0329 eV per atom. Its calculated total energy is -63.97 eV per cell. Its volume is 306 Å³/cell.